A plane-wave DFT calculation with PBE was carried out for a geometry-optimized CuOs2 structure.

Spin magnetization ... 1.01 μB per cell
DOS(E_F) ... 10.23 states/eV/cell
Energy relative to the lowest polymorph listed for this composition ... 645 meV per atom
Formation enthalpy at 0 K ... 861 meV per atom

abc: 6.2360 6.2360 3.7396
angles: 90.00 90.00 120.00
Each line ends with the local moment (μB).
Fractional positions:
Cu1 0.3333 0.6667 0.0000  0.03
Cu2 0.6667 0.3333 0.0000  0.03
Cu3 0.0000 0.0000 0.5000  0.02
Os1 0.2444 0.0000 0.0000  0.04
Os2 0.0000 0.2444 0.0000  0.04
Os3 0.7556 0.7556 0.0000  0.04
Os4 0.5828 0.0000 0.5000  0.26
Os5 0.0000 0.5828 0.5000  0.26
Os6 0.4172 0.4172 0.5000  0.26